Record 1
FeCoCuMo | PBE | relaxed

The value obtained for the magnetic moment is 0.00 Bohr magnetons per cell. The formation energy comes out at 63 kJ/mol of formula units.

The space group is F-43m (No. 216) and the conventional cell measures 5.783, 5.783 and 5.783 Å, with angles of 90.00, 90.00 and 90.00 degrees. Symmetry generates all atoms from Fe at (0.000, 0.000, 0.000), Co at (0.000, 0.000, 0.500), Cu at (0.250, 0.250, 0.250) and Mo at (0.250, 0.250, 0.750).

Record 2
FeCo2CuN | PBE | relaxed

The value obtained for the magnetic moment is 4.96 Bohr magnetons per cell. The uncorrected formation energy is 0 meV per atom.

The space group is P4/mmm (No. 123) and the conventional cell measures 3.736, 3.736 and 3.784 Å, with angles of 90.00, 90.00 and 90.00 degrees. Symmetry generates all atoms from Fe at (0.000, 0.000, 0.000), Co at (0.000, 0.500, 0.500), Cu at (0.500, 0.500, 0.000) and N at (0.000, 0.000, 0.500).